Entry 1:
Here is an optimized crystal structure of AcTi2Se7 from the Alexandria database. Energies are from PBE.

Geometry as POSCAR:
```
AcTi2Se7
1.0
-3.869 2.813 0.634
0.518 -0.982 7.521
3.873 5.943 -2.734
Ac Ti Se
1 2 7
Direct
0.000 0.000 0.000 Ac
0.500 0.693 0.307 Ti
0.500 0.307 0.693 Ti
0.000 0.737 0.263 Se
0.000 0.263 0.737 Se
0.500 0.075 0.323 Se
0.500 0.925 0.677 Se
0.500 0.323 0.075 Se
0.500 0.677 0.925 Se
0.500 0.500 0.500 Se
```

Raw formation energy   -918 meV/atom
Space-group type   Cmmm, No. 65
Theoretical density   5.75 Mg/m³

Entry 2:
Here is an optimized crystal structure of AcTi4Se8 from the Alexandria database. Energies are from PBE.

Geometry as POSCAR:
```
AcTi4Se8
1.0
-5.606 -4.049 -2.171
-2.769 -5.027 4.426
-7.475 1.982 3.509
Ac Ti Se
1 4 8
Direct
0.500 0.500 0.500 Ac
0.000 0.500 0.000 Ti
0.500 0.500 0.000 Ti
0.500 0.000 0.000 Ti
0.000 0.000 0.000 Ti
0.745 0.232 0.791 Se
0.768 0.255 0.209 Se
0.255 0.768 0.209 Se
0.768 0.768 0.209 Se
0.735 0.735 0.796 Se
0.265 0.265 0.204 Se
0.232 0.232 0.791 Se
0.232 0.745 0.791 Se
```

Raw formation energy   -1306 meV/atom
Space-group type   R-3m, No. 166
Theoretical density   5.19 Mg/m³

Entry 3:
Here is an optimized crystal structure of AcTiTlSe4 from the Alexandria database. Energies are from PBE.

Geometry as POSCAR:
```
AcTiTlSe4
1.0
-4.614 5.537 -0.976
-0.974 -1.988 -6.667
-4.919 -7.190 2.863
Ac Ti Tl Se
2 2 2 8
Direct
0.768 0.750 0.446 Ac
0.232 0.250 0.554 Ac
0.215 0.750 0.309 Ti
0.785 0.250 0.691 Ti
0.721 0.750 0.933 Tl
0.279 0.250 0.067 Tl
0.007 0.510 0.733 Se
0.993 0.010 0.267 Se
0.993 0.490 0.267 Se
0.007 0.990 0.733 Se
0.418 0.750 0.148 Se
0.582 0.250 0.852 Se
0.402 0.750 0.572 Se
0.598 0.250 0.428 Se
```

Raw formation energy   -1281 meV/atom
Space-group type   P2_1/m, No. 11
Theoretical density   5.91 Mg/m³

Entry 4:
Here is an optimized crystal structure of Ac2TiTl2Se6 from the Alexandria database. Energies are from PBE.

Geometry as POSCAR:
```
Ac2TiTl2Se6
1.0
-6.870 -2.561 -1.190
5.122 -0.869 -5.309
2.561 -5.543 5.179
Ac Ti Tl Se
2 1 2 6
Direct
0.334 0.666 0.500 Ac
0.666 0.334 0.500 Ac
0.000 0.000 0.500 Ti
0.830 0.170 0.000 Tl
0.170 0.830 0.000 Tl
0.789 0.789 0.708 Se
0.071 0.359 0.703 Se
0.211 0.211 0.292 Se
0.359 0.071 0.703 Se
0.929 0.641 0.297 Se
0.641 0.929 0.297 Se
```

Raw formation energy   -1268 meV/atom
Space-group type   C2/m, No. 12
Theoretical density   6.26 Mg/m³

Question: Which value of theoretical density does entry 4 give?
Answer: 6.26 Mg/m³

Repeat the third record exactly.
Here is an optimized crystal structure of AcTiTlSe4 from the Alexandria database. Energies are from PBE.

Geometry as POSCAR:
```
AcTiTlSe4
1.0
-4.614 5.537 -0.976
-0.974 -1.988 -6.667
-4.919 -7.190 2.863
Ac Ti Tl Se
2 2 2 8
Direct
0.768 0.750 0.446 Ac
0.232 0.250 0.554 Ac
0.215 0.750 0.309 Ti
0.785 0.250 0.691 Ti
0.721 0.750 0.933 Tl
0.279 0.250 0.067 Tl
0.007 0.510 0.733 Se
0.993 0.010 0.267 Se
0.993 0.490 0.267 Se
0.007 0.990 0.733 Se
0.418 0.750 0.148 Se
0.582 0.250 0.852 Se
0.402 0.750 0.572 Se
0.598 0.250 0.428 Se
```

Raw formation energy   -1281 meV/atom
Space-group type   P2_1/m, No. 11
Theoretical density   5.91 Mg/m³

Question: The highest raw formation energy belongs to which entry?
Answer: AcTi2Se7

Question: Look up the raw formation energy of the fourth one.
Answer: -1268 meV/atom